# 1
PBE BC, optimized geometry; distance to the lowest polymorph of the same formula = 0.202 eV per atom; energy relative to the elements = 0.353 eV/atom; E = -7.60 eV/atom; SG = Cm, No. 8; size of the total moment = 0.00 μB/f.u.; calculated density = 2.699 Mg/m³
1.0
4.571 -1.292 0.000
4.571 1.292 0.000
-4.459 0.000 7.133
B C
6 6
Direct
0.000 0.000 0.000 B
0.259 0.259 0.605 B
0.406 0.406 0.329 B
0.518 0.518 0.863 B
0.734 0.734 0.320 B
0.961 0.961 0.508 B
0.152 0.152 0.703 C
0.189 0.189 0.195 C
0.339 0.339 0.121 C
0.660 0.660 0.811 C
0.796 0.796 0.537 C
0.830 0.830 0.018 C

=====

# 2
PBE B7C5, optimized geometry; distance to the lowest polymorph of the same formula = 0.176 eV per atom; energy relative to the elements = 0.340 eV/atom; E = -7.40 eV/atom; SG = Cm, No. 8; size of the total moment = 0.00 μB/f.u.; calculated density = 2.159 Mg/m³
1.0
2.303 -1.330 0.000
2.303 1.330 0.000
-1.628 0.000 17.045
B C
7 5
Direct
0.000 0.000 0.000 B
0.133 0.133 0.376 B
0.410 0.410 0.216 B
0.504 0.504 0.602 B
0.646 0.646 0.941 B
0.764 0.764 0.276 B
0.944 0.944 0.841 B
0.033 0.033 0.093 C
0.170 0.170 0.602 C
0.377 0.377 0.124 C
0.613 0.613 0.849 C
0.797 0.797 0.368 C

=====

# 3
PBE B3C2, optimized geometry; distance to the lowest polymorph of the same formula = 0.151 eV per atom; energy relative to the elements = 0.362 eV/atom; E = -7.33 eV/atom; SG = Imma, No. 74; size of the total moment = 0.00 μB/f.u.; calculated density = 2.773 Mg/m³
1.0
-1.202 1.229 11.434
1.202 -1.229 11.434
1.202 1.229 -11.434
B C
6 4
Direct
0.029 0.279 0.750 B
0.355 0.105 0.250 B
0.414 0.664 0.750 B
0.586 0.336 0.250 B
0.645 0.895 0.750 B
0.971 0.721 0.250 B
0.191 0.941 0.250 C
0.229 0.479 0.750 C
0.771 0.521 0.250 C
0.809 0.059 0.750 C